Record 1
Pr2AlZn4Ga3 | PBE | optimized geometry

Properties
For the formation energy, the calculation gives -479 meV per atom.

Cell: 4.261 4.261 10.712 Å, 90.00 90.00 90.00°
Fractional positions:
Zn (0.500, 0.500, 0.000)
Zn (0.000, 0.500, 0.363)
Zn (0.000, 0.000, 0.000)
Zn (0.500, 0.000, 0.637)
Pr (0.500, 0.000, 0.248)
Pr (0.000, 0.500, 0.752)
Ga (0.000, 0.000, 0.500)
Ga (0.500, 0.000, 0.866)
Ga (0.000, 0.500, 0.134)
Al (0.500, 0.500, 0.500)

Record 2
Pr2Al4Zn3Ga | PBE | optimized geometry

Properties
For the formation energy, the calculation gives -425 meV per atom.

Cell: 4.260 4.260 10.895 Å, 90.00 90.00 90.00°
Fractional positions:
Pr (0.000, 0.500, 0.748)
Pr (0.500, 0.000, 0.252)
Zn (0.000, 0.500, 0.137)
Zn (0.500, 0.000, 0.863)
Zn (0.000, 0.000, 0.500)
Al (0.500, 0.500, 0.000)
Al (0.000, 0.000, 0.000)
Al (0.500, 0.000, 0.636)
Al (0.000, 0.500, 0.364)
Ga (0.500, 0.500, 0.500)

Number 1: magnetization 0.000 μB/f.u., uncorrected energy -32.27 eV for the cell shown. Number 2: magnetization 0.000 μB/f.u., uncorrected energy -35.63 eV for the cell shown.